Lu4Cu3Mo2C3 | GGA-PBE | relaxed

Cell: 5.752 5.752 13.691 Å, 101.20 101.20 60.49°
Positions (direct):
C1 0.191 0.655 0.500
C2 0.655 0.191 0.000
C3 0.000 0.500 0.000
C4 0.809 0.345 0.500
C5 0.500 0.000 0.500
C6 0.345 0.809 0.000
Mo1 0.477 0.661 0.431
Mo2 0.339 0.523 0.069
Mo3 0.661 0.477 0.931
Mo4 0.523 0.339 0.569
Lu1 0.814 0.951 0.392
Lu2 0.297 0.123 0.892
Lu3 0.951 0.814 0.892
Lu4 0.049 0.186 0.108
Lu5 0.703 0.877 0.108
Lu6 0.186 0.049 0.608
Lu7 0.123 0.297 0.392
Lu8 0.877 0.703 0.608
Cu1 0.672 0.571 0.251
Cu2 0.819 0.181 0.750
Cu3 0.328 0.429 0.749
Cu4 0.571 0.672 0.751
Cu5 0.181 0.819 0.250
Cu6 0.429 0.328 0.249

V ... 384.14 Å³ per cell
Crystal system ... monoclinic
Spin magnetization ... 0.0 μB per cell
Total DFT energy (no corrections) ... -163.14 eV for the cell shown
Symmetry ... C2/c

***

Lu2Cu3Mo4C3 | GGA-PBE | relaxed

Cell: 5.398 5.398 13.749 Å, 101.96 101.96 60.10°
Positions (direct):
Cu1 0.413 0.098 0.248
Cu2 0.587 0.902 0.752
Cu3 0.902 0.587 0.252
Cu4 0.924 0.076 0.250
Cu5 0.076 0.924 0.750
Cu6 0.098 0.413 0.748
Lu1 0.457 0.620 0.379
Lu2 0.620 0.457 0.879
Lu3 0.543 0.380 0.621
Lu4 0.380 0.543 0.121
C1 0.670 0.159 0.000
C2 0.500 0.000 0.500
C3 0.330 0.841 0.000
C4 0.000 0.500 0.000
C5 0.841 0.330 0.500
C6 0.159 0.670 0.500
Mo1 0.306 0.150 0.919
Mo2 0.150 0.306 0.419
Mo3 0.015 0.207 0.081
Mo4 0.207 0.015 0.581
Mo5 0.985 0.793 0.919
Mo6 0.850 0.694 0.581
Mo7 0.793 0.985 0.419
Mo8 0.694 0.850 0.081

V ... 337.21 Å³ per cell
Crystal system ... monoclinic
Spin magnetization ... 0.0 μB per cell
Total DFT energy (no corrections) ... -187.38 eV for the cell shown
Symmetry ... C2/c

***

Lu3CuCN | GGA-PBE | relaxed

Cell: 3.456 3.456 19.053 Å, 90.00 90.00 120.00°
Positions (direct):
Cu1 0.000 0.000 0.744
Cu2 0.000 0.000 0.256
Lu1 0.333 0.667 0.638
Lu2 0.000 0.000 0.500
Lu3 0.667 0.333 0.362
Lu4 0.667 0.333 0.141
Lu5 0.333 0.667 0.859
Lu6 0.000 0.000 0.000
N1 0.333 0.667 0.427
N2 0.667 0.333 0.573
C1 0.333 0.667 0.080
C2 0.667 0.333 0.920

V ... 197.08 Å³ per cell
Crystal system ... trigonal
Spin magnetization ... 0.0 μB per cell
Total DFT energy (no corrections) ... -78.30 eV for the cell shown
Symmetry ... P-3m1